1.
Computed, not measured: a relaxed LiLa2Ga7 crystal at the GGA-PBE level of DFT.

POSCAR file:
```
LiLa2Ga7
1.0
4.374 0.000 0.000
0.000 4.374 0.000
0.000 0.000 10.718
La Li Ga
2 1 7
Cartesian
2.187 0.000 8.006
0.000 2.187 2.712
2.187 2.187 0.000
2.187 0.000 1.411
0.000 0.000 0.000
0.000 0.000 5.359
0.000 2.187 9.307
2.187 0.000 3.905
0.000 2.187 6.813
2.187 2.187 5.359
```

Summary:
Its volume is 205.1 Å³ per cell. The value obtained for the energy is -3.82 eV/atom. Its density is 6.258 g/cm3. The crystal system is tetragonal. As for the space group: No. 115. The density of states at the Fermi level is 0.34 states/eV per atom. For the formation enthalpy at 0 K, the calculation gives -0.529 eV per atom.

***

2.
Computed, not measured: a relaxed LiLa2Ga2 crystal at the GGA-PBE level of DFT.

POSCAR file:
```
LiLa2Ga2
1.0
7.539 0.000 0.000
0.000 7.539 0.000
0.000 0.000 4.639
La Ga Li
4 4 2
Cartesian
1.121 4.891 2.319
2.648 1.121 2.319
4.891 6.417 2.319
6.417 2.648 2.319
1.105 2.664 0.000
2.664 6.434 0.000
6.434 4.874 0.000
4.874 1.105 0.000
0.000 0.000 0.000
3.769 3.769 0.000
```

Summary:
Its volume is 263.6 Å³ per cell. The energy above the most stable polymorph in this dataset comes out at 38.1 meV per atom. The value obtained for the energy is -3.99 eV/atom. Its density is 5.344 g/cm3. The crystal system is tetragonal. As for the space group: No. 127. The density of states at the Fermi level is 0.79 states/eV per atom. For the formation enthalpy at 0 K, the calculation gives -0.424 eV per atom.

***

3.
Computed, not measured: a relaxed Li2La2Ga3 crystal at the GGA-PBE level of DFT.

POSCAR file:
```
Li2La2Ga3
1.0
4.319 0.000 -1.030
0.000 7.439 0.000
0.109 0.000 10.031
Li Ga La
4 6 4
Cartesian
3.017 7.005 3.084
1.411 3.285 5.917
1.411 0.434 5.917
3.017 4.153 3.084
1.023 5.579 4.291
2.007 6.875 8.418
2.421 3.156 0.583
2.007 4.283 8.418
2.421 0.564 0.583
3.405 1.860 4.710
3.721 5.579 6.035
4.167 1.860 7.906
0.261 5.579 1.095
0.707 1.860 2.967
```

Summary:
Its volume is 323.1 Å³ per cell. The value obtained for the energy is -3.69 eV/atom. Its density is 5.149 g/cm3. The crystal system is orthorhombic. As for the space group: No. 63. The density of states at the Fermi level is 1.07 states/eV per atom. For the formation enthalpy at 0 K, the calculation gives -0.443 eV per atom.

***

4.
Computed, not measured: a relaxed Li4LaGa crystal at the GGA-PBE level of DFT.

POSCAR file:
```
Li4LaGa
1.0
-1.371 -2.633 4.631
-4.608 -2.999 0.198
0.298 -5.488 0.235
Li La Ga
4 1 1
Cartesian
-3.563 -6.976 3.177
-2.865 -5.635 0.818
-1.217 -5.449 3.076
-3.715 -4.181 3.057
-1.420 -2.780 1.266
0.000 0.000 0.000
```

Summary:
Its volume is 117.7 Å³ per cell. The value obtained for the energy is -2.71 eV/atom. Its density is 3.335 g/cm3. The crystal system is cubic. As for the space group: No. 216. The density of states at the Fermi level is 0.32 states/eV per atom. For the formation enthalpy at 0 K, the calculation gives -0.112 eV per atom.

***

5.
Computed, not measured: a relaxed Li2LaGa3 crystal at the GGA-PBE level of DFT.

POSCAR file:
```
Li2LaGa3
1.0
4.948 0.000 0.000
0.000 6.901 0.028
0.000 -1.359 6.766
Li Ga La
4 6 2
Cartesian
0.000 5.118 1.482
0.000 0.424 5.312
2.474 0.424 5.312
2.474 5.118 1.482
3.711 -0.030 3.120
3.711 0.399 0.489
1.237 2.480 6.197
3.711 3.062 0.597
1.237 5.144 6.305
1.237 5.572 3.674
1.237 1.776 2.177
3.711 3.766 4.617
```

Summary:
Its volume is 231.2 Å³ per cell. The value obtained for the energy is -3.42 eV/atom. Its density is 5.199 g/cm3. The crystal system is orthorhombic. As for the space group: No. 63. The density of states at the Fermi level is 0.14 states/eV per atom. For the formation enthalpy at 0 K, the calculation gives -0.443 eV per atom.

***

6.
Computed, not measured: a relaxed LiLaGa6 crystal at the GGA-PBE level of DFT.

POSCAR file:
```
LiLaGa6
1.0
-0.515 2.810 3.382
-4.139 2.168 -2.431
-4.124 -4.440 3.062
Ga Li La
6 1 1
Cartesian
-5.054 1.925 0.529
-1.156 1.876 1.163
-3.678 -2.770 1.742
-4.821 -0.775 -0.089
-1.933 -0.892 0.447
-6.688 0.165 1.742
-3.849 -0.014 2.323
-2.776 1.454 -1.631
```

Summary:
Its volume is 158.3 Å³ per cell. The value obtained for the energy is -3.45 eV/atom. Its density is 5.918 g/cm3. The crystal system is orthorhombic. As for the space group: No. 25. The density of states at the Fermi level is 0.46 states/eV per atom. For the formation enthalpy at 0 K, the calculation gives -0.329 eV per atom.

***

7.
Computed, not measured: a relaxed Li2LaGa2 crystal at the GGA-PBE level of DFT.

POSCAR file:
```
Li2LaGa2
1.0
8.203 0.000 0.000
0.000 8.203 0.000
0.000 0.000 2.950
La Ga Li
2 4 4
Cartesian
0.000 0.000 0.000
4.101 4.101 0.000
6.743 2.642 1.475
1.459 5.561 1.475
5.561 6.743 1.475
2.642 1.459 1.475
7.254 5.049 0.000
0.948 3.153 0.000
5.049 0.948 0.000
3.153 7.254 0.000
```

Summary:
Its volume is 198.5 Å³ per cell. The energy above the most stable polymorph in this dataset comes out at 87.8 meV per atom. The value obtained for the energy is -3.26 eV/atom. Its density is 4.890 g/cm3. The crystal system is tetragonal. As for the space group: No. 127. The density of states at the Fermi level is 0.71 states/eV per atom. For the formation enthalpy at 0 K, the calculation gives -0.301 eV per atom.

***

8.
Computed, not measured: a relaxed Li8LaGa4 crystal at the GGA-PBE level of DFT.

POSCAR file:
```
Li8LaGa4
1.0
5.472 0.000 0.000
2.736 6.554 0.000
2.736 0.000 6.554
Li Ga La
8 4 1
Cartesian
2.736 2.272 4.282
2.736 1.481 1.481
5.472 5.073 1.481
8.207 5.073 5.073
5.472 2.272 2.272
5.472 4.282 4.282
5.472 1.481 5.073
2.736 4.282 2.272
4.104 0.000 3.277
1.368 0.000 3.277
1.368 3.277 0.000
4.104 3.277 0.000
0.000 0.000 0.000
```

Summary:
Its volume is 235.1 Å³ per cell. The value obtained for the energy is -2.76 eV/atom. Its density is 3.344 g/cm3. The crystal system is tetragonal. As for the space group: No. 139. The density of states at the Fermi level is 0.30 states/eV per atom. For the formation enthalpy at 0 K, the calculation gives -0.268 eV per atom.

***

9.
Computed, not measured: a relaxed Li3La2Ga4 crystal at the GGA-PBE level of DFT.

POSCAR file:
```
Li3La2Ga4
1.0
5.875 0.000 0.000
0.000 7.830 0.000
-2.938 0.000 8.277
Ga Li La
8 6 4
Cartesian
2.938 3.902 2.677
4.406 1.957 1.203
0.000 3.928 5.600
0.000 0.013 2.677
2.938 7.817 5.600
1.469 5.872 7.074
-1.469 5.872 7.074
1.469 1.957 1.203
4.406 1.957 3.856
-1.469 5.872 4.421
0.000 0.000 0.000
1.469 5.872 4.421
1.469 1.957 3.856
2.938 3.915 0.000
0.000 4.745 1.669
0.000 0.830 6.608
2.938 7.000 1.669
2.938 3.085 6.608
```

Summary:
Its volume is 380.8 Å³ per cell. The value obtained for the energy is -3.47 eV/atom. Its density is 5.037 g/cm3. The crystal system is orthorhombic. As for the space group: No. 64. The density of states at the Fermi level is 0.43 states/eV per atom. For the formation enthalpy at 0 K, the calculation gives -0.393 eV per atom.

***

10.
Computed, not measured: a relaxed LiLaGa4 crystal at the GGA-PBE level of DFT.

POSCAR file:
```
LiLaGa4
1.0
-3.588 -2.427 0.262
-0.965 -2.979 -4.878
1.192 -5.485 1.447
Ga Li La
4 1 1
Cartesian
-2.475 -2.211 -0.465
-1.232 -4.178 -1.668
-0.886 -8.680 -2.702
-2.129 -6.713 -1.500
-0.483 -1.490 -2.439
0.596 -2.742 0.724
```

Summary:
Its volume is 124.5 Å³ per cell. The value obtained for the energy is -3.61 eV/atom. Its density is 5.665 g/cm3. The crystal system is orthorhombic. As for the space group: No. 71. The density of states at the Fermi level is 0.29 states/eV per atom. For the formation enthalpy at 0 K, the calculation gives -0.455 eV per atom.

***

11.
Computed, not measured: a relaxed LiLa2Ga2 crystal at the GGA-PBE level of DFT.

POSCAR file:
```
LiLa2Ga2
1.0
8.986 0.000 0.000
0.000 8.986 0.000
0.000 0.000 3.382
La Ga Li
4 4 2
Cartesian
1.600 2.893 0.000
6.093 1.600 0.000
2.893 7.387 0.000
7.387 6.093 0.000
5.505 7.974 1.691
3.481 1.012 1.691
1.012 5.505 1.691
7.974 3.481 1.691
4.493 4.493 0.000
0.000 0.000 0.000
```

Summary:
Its volume is 273.1 Å³ per cell. The energy above the most stable polymorph in this dataset comes out at 212.1 meV per atom. The value obtained for the energy is -3.81 eV/atom. Its density is 5.158 g/cm3. The crystal system is tetragonal. As for the space group: No. 127. The density of states at the Fermi level is 0.87 states/eV per atom. For the formation enthalpy at 0 K, the calculation gives -0.250 eV per atom.

***

12.
Computed, not measured: a relaxed Li2LaGa2 crystal at the GGA-PBE level of DFT.

POSCAR file:
```
Li2LaGa2
1.0
-5.763 5.674 0.803
-1.350 -2.452 7.630
2.161 2.047 1.040
Ga La Li
4 2 4
Cartesian
-1.194 -0.271 3.013
-3.396 0.007 7.041
-5.919 3.493 5.421
-3.718 3.216 1.393
-3.557 1.611 4.217
0.000 0.000 0.000
-3.916 2.817 7.369
-1.036 2.453 2.105
-0.827 0.356 5.797
-4.125 4.913 3.677
```

Summary:
Its volume is 208.3 Å³ per cell. The energy above the most stable polymorph in this dataset comes out at 188.0 meV per atom. The value obtained for the energy is -3.16 eV/atom. Its density is 4.660 g/cm3. The crystal system is tetragonal. As for the space group: No. 127. The density of states at the Fermi level is 0.49 states/eV per atom. For the formation enthalpy at 0 K, the calculation gives -0.200 eV per atom.

***

13.
Computed, not measured: a relaxed LiLa2Ga crystal at the GGA-PBE level of DFT.

POSCAR file:
```
LiLa2Ga
1.0
3.385 0.000 0.000
1.692 2.931 0.000
1.692 0.977 12.024
Li La Ga
1 2 1
Cartesian
3.385 1.954 6.012
1.692 0.977 8.880
5.077 2.931 3.144
0.000 0.000 0.000
```

Summary:
Its volume is 119.3 Å³ per cell. The value obtained for the energy is -3.47 eV/atom. Its density is 4.934 g/cm3. The crystal system is trigonal. As for the space group: No. 166. The density of states at the Fermi level is 1.33 states/eV per atom. For the formation enthalpy at 0 K, the calculation gives 0.229 eV per atom.

***

14.
Computed, not measured: a relaxed Li2La3Ga4 crystal at the GGA-PBE level of DFT.

POSCAR file:
```
Li2La3Ga4
1.0
4.752 0.000 0.000
-2.376 5.478 -0.531
0.000 -3.081 8.414
Li La Ga
2 3 4
Cartesian
0.000 2.212 5.790
2.376 0.185 2.092
2.376 -0.127 5.354
0.000 2.523 2.528
0.000 0.000 0.000
0.000 0.016 7.502
2.376 3.199 4.818
0.000 -0.802 3.065
2.376 2.380 0.380
```

Summary:
Its volume is 211.2 Å³ per cell. The value obtained for the energy is -3.90 eV/atom. Its density is 5.578 g/cm3. The crystal system is monoclinic. As for the space group: No. 12. The density of states at the Fermi level is 0.53 states/eV per atom. For the formation enthalpy at 0 K, the calculation gives -0.485 eV per atom.

***

15.
Computed, not measured: a relaxed LiLaGa4 crystal at the GGA-PBE level of DFT.

POSCAR file:
```
LiLaGa4
1.0
5.585 0.000 0.000
2.793 4.837 0.000
2.793 1.612 4.560
Ga La Li
4 1 1
Cartesian
5.585 3.225 0.571
6.981 4.030 2.850
5.585 1.613 2.850
4.190 4.030 2.850
2.793 1.612 1.140
0.000 0.000 0.000
```

Summary:
Its volume is 123.2 Å³ per cell. The value obtained for the energy is -3.54 eV/atom. Its density is 5.725 g/cm3. The crystal system is cubic. As for the space group: No. 216. The density of states at the Fermi level is 0.38 states/eV per atom. For the formation enthalpy at 0 K, the calculation gives -0.378 eV per atom.

***

16.
Computed, not measured: a relaxed LiLa2Ga12 crystal at the GGA-PBE level of DFT.

POSCAR file:
```
LiLa2Ga12
1.0
6.241 0.000 0.000
0.000 6.241 0.000
0.000 0.000 15.377
Ga Li La
24 2 4
Cartesian
1.564 1.556 1.310
0.000 0.000 2.752
3.120 3.120 12.625
4.685 4.677 14.067
0.000 0.000 5.264
1.556 4.677 1.310
1.556 1.564 14.067
4.677 1.556 14.067
4.200 5.161 8.769
5.161 4.200 6.608
4.677 4.685 1.310
3.120 3.120 2.752
2.041 1.080 8.769
3.120 3.120 10.112
1.080 2.041 6.608
4.200 1.080 6.608
1.564 4.685 14.067
1.080 4.200 8.769
4.685 1.564 1.310
2.041 5.161 6.608
0.000 0.000 12.625
0.000 0.000 10.112
5.161 2.041 8.769
3.120 3.120 5.264
3.120 0.000 0.000
0.000 3.120 0.000
3.120 0.000 3.777
3.120 0.000 11.600
0.000 3.120 3.777
0.000 3.120 11.600
```

Summary:
Its volume is 598.9 Å³ per cell. The value obtained for the energy is -3.59 eV/atom. Its density is 6.219 g/cm3. The crystal system is tetragonal. As for the space group: No. 125. The density of states at the Fermi level is 0.28 states/eV per atom. For the formation enthalpy at 0 K, the calculation gives -0.382 eV per atom.

***

17.
Computed, not measured: a relaxed LiLaGa3 crystal at the GGA-PBE level of DFT.

POSCAR file:
```
LiLaGa3
1.0
4.697 0.000 0.000
0.000 4.697 0.000
0.000 0.000 4.697
Ga La Li
3 1 1
Cartesian
0.000 0.000 2.348
2.348 0.000 0.000
0.000 2.348 0.000
2.348 2.348 2.348
0.000 0.000 0.000
```

Summary:
Its volume is 103.6 Å³ per cell. The energy above the most stable polymorph in this dataset comes out at 150.8 meV per atom. The value obtained for the energy is -3.47 eV/atom. Its density is 5.690 g/cm3. The crystal system is cubic. As for the space group: No. 221. The density of states at the Fermi level is 0.85 states/eV per atom. For the formation enthalpy at 0 K, the calculation gives -0.290 eV per atom.

***

18.
Computed, not measured: a relaxed LiLaGa crystal at the GGA-PBE level of DFT.

POSCAR file:
```
LiLaGa
1.0
3.485 0.000 0.000
0.000 4.866 0.000
0.000 -2.433 4.214
La Li Ga
1 1 1
Cartesian
2.324 2.433 1.405
0.580 0.000 0.000
0.582 0.000 2.809
```

Summary:
Its volume is 71.5 Å³ per cell. The energy above the most stable polymorph in this dataset comes out at 26.9 meV per atom. The value obtained for the energy is -3.64 eV/atom. Its density is 5.009 g/cm3. The crystal system is hexagonal. As for the space group: No. 187. The density of states at the Fermi level is 0.86 states/eV per atom. For the formation enthalpy at 0 K, the calculation gives -0.353 eV per atom.

***

19.
Computed, not measured: a relaxed Li5LaGa7 crystal at the GGA-PBE level of DFT.

POSCAR file:
```
Li5LaGa7
1.0
-5.002 -0.624 -1.570
-0.680 -5.219 -4.635
-3.489 -4.542 4.046
Li Ga La
5 7 1
Cartesian
-3.855 -7.139 1.728
-2.446 -7.479 -2.627
-4.902 -7.785 -3.398
-6.312 -7.446 0.957
-6.859 -8.003 -1.596
-4.710 -3.823 -1.226
-6.663 -5.655 -3.156
-7.502 -5.453 -0.562
-3.818 -5.313 -3.478
-4.466 -6.506 -0.938
-2.305 -2.464 -0.554
-5.366 -4.940 1.305
-4.996 -0.692 -1.563
```

Summary:
Its volume is 222.8 Å³ per cell. The value obtained for the energy is -3.09 eV/atom. Its density is 4.930 g/cm3. The crystal system is orthorhombic. As for the space group: No. 44. The density of states at the Fermi level is 0.35 states/eV per atom. For the formation enthalpy at 0 K, the calculation gives -0.346 eV per atom.

***

20.
Computed, not measured: a relaxed LiLaGa crystal at the GGA-PBE level of DFT.

POSCAR file:
```
LiLaGa
1.0
4.191 0.000 0.000
0.000 4.364 0.000
0.000 2.182 8.821
Li Ga La
2 2 2
Cartesian
1.048 4.364 5.200
3.143 2.182 3.621
1.048 4.364 8.064
3.143 2.182 0.757
3.143 2.182 7.111
1.048 4.364 1.710
```

Summary:
Its volume is 161.3 Å³ per cell. The energy above the most stable polymorph in this dataset comes out at 22.1 meV per atom. The value obtained for the energy is -3.65 eV/atom. Its density is 4.438 g/cm3. The crystal system is orthorhombic. As for the space group: No. 63. The density of states at the Fermi level is 0.81 states/eV per atom. For the formation enthalpy at 0 K, the calculation gives -0.358 eV per atom.